# 1
This record from OQMD describes a relaxed structure of Gd3In3NiAgPt. The functional is PBE.

Structure (extended XYZ):
```
9
Lattice="7.7037 0.0000 0.0000 -3.8518 6.6716 0.0000 0.0000 0.0000 3.8963" Properties=species:S:1:pos:R:3 pbc="T T T"
Gd 5.3154 0.5465 1.9481
Gd 1.6674 1.7950 1.9481
Ag 0.0000 0.0000 0.0000
In -0.9643 6.0692 0.0000
In -0.9221 2.8019 0.0000
Pt 3.8518 2.2239 0.0000
Ni 0.0000 4.4477 1.9481
Gd 4.5727 4.3300 1.9481
In 1.8864 4.4721 0.0000
```

Properties
Total DFT energy (no corrections) in eV per atom: -4.746

***

# 2
This record from OQMD describes a relaxed structure of PrGd2In3AgPd2. The functional is PBE.

Structure (extended XYZ):
```
9
Lattice="3.8808 0.0000 0.0000 0.0000 6.8329 3.9342 0.0000 -6.8329 3.9342" Properties=species:S:1:pos:R:3 pbc="T T T"
Pd 1.9404 -2.3134 3.9257
Pr 0.0000 0.0000 4.6458
Gd 0.0000 -2.7980 1.6110
In 1.9404 4.9933 2.9017
Pd 1.9404 2.3134 3.9257
Ag 0.0000 0.0000 0.0142
In 1.9404 0.0000 2.0689
Gd 0.0000 2.7980 1.6110
In 1.9404 -4.9933 2.9017
```

Properties
Total DFT energy (no corrections) in eV per atom: -4.621

***

The highest total DFT energy (no corrections) belongs to which entry? PrGd2In3AgPd2

***

Which formula does entry 1 have? Gd3In3NiAgPt

***

total DFT energy (no corrections) of number 1 (Gd3In3NiAgPt)? -4.746 eV per atom

***

Look up the total DFT energy (no corrections) of the second one. -4.621 eV per atom